[1]
## Y3Sc (PBE)

Data for an optimized crystal structure of Y3Sc.

```
Y3Sc
1.0
1.755 1.013 11.347
-1.755 1.013 11.347
0.000 -2.026 11.347
Y Sc
3 1
direct
0.000 0.000 0.000
0.247 0.247 0.247
0.753 0.753 0.753
0.500 0.500 0.500
```

## Properties
Total magnetic moment ... 0.00 μB/atom
Calculated formation energy ... 55 meV/atom

=====

[2]
## Y3Sc4 (PBE)

Data for an optimized crystal structure of Y3Sc4.

```
Y3Sc4
1.0
6.281 0.000 0.000
-3.141 5.440 0.000
0.000 0.000 5.956
Y Sc
3 4
direct
0.000 0.500 0.000
0.500 0.000 0.000
0.500 0.500 0.000
0.000 0.000 0.258
0.000 0.000 0.742
0.333 0.667 0.500
0.667 0.333 0.500
```

## Properties
Total magnetic moment ... 0.42 μB/atom
Calculated formation energy ... 342 meV/atom

=====

[3]
## Y3Sc (PBE)

Data for an optimized crystal structure of Y3Sc.

```
Y3Sc
1.0
5.534 0.000 0.000
0.000 7.146 0.000
0.000 0.000 6.173
Y Sc
6 2
direct
0.250 0.001 0.169
0.250 0.250 0.658
0.250 0.499 0.169
0.750 0.501 0.831
0.750 0.750 0.342
0.750 0.999 0.831
0.250 0.750 0.670
0.750 0.250 0.330
```

## Properties
Total magnetic moment ... 0.00 μB/atom
Calculated formation energy ... 18 meV/atom

=====

[4]
## Y3Sc (PBE)

Data for an optimized crystal structure of Y3Sc.

```
Y3Sc
1.0
3.578 0.000 0.000
0.000 5.533 0.000
0.000 0.000 6.177
Y Sc
3 1
direct
0.000 0.000 0.000
0.000 0.500 0.340
0.500 0.500 0.832
0.500 0.000 0.505
```

## Properties
Total magnetic moment ... 0.00 μB/atom
Calculated formation energy ... 26 meV/atom

=====

[5]
## Y2Sc3 (PBE)

Data for an optimized crystal structure of Y2Sc3.

```
Y2Sc3
1.0
1.702 0.983 13.718
-1.702 0.983 13.718
0.000 -1.965 13.718
Y Sc
2 3
direct
0.203 0.203 0.203
0.797 0.797 0.797
0.000 0.000 0.000
0.396 0.396 0.396
0.604 0.604 0.604
```

## Properties
Total magnetic moment ... 0.00 μB/atom
Calculated formation energy ... 72 meV/atom

=====

[6]
## YSc (PBE)

Data for an optimized crystal structure of YSc.

```
YSc
1.0
6.191 -1.745 0.000
6.191 1.745 0.000
-1.846 0.000 7.896
Y Sc
3 3
direct
0.000 0.000 0.000
0.049 0.049 0.610
0.374 0.374 0.275
0.322 0.322 0.666
0.661 0.661 0.337
0.721 0.721 0.937
```

## Properties
Total magnetic moment ... 0.00 μB/atom
Calculated formation energy ... 29 meV/atom